Density functional theory data (PBE with a Hubbard U) for a relaxed CsTbVF6 crystal.

abc: 8.2458 7.8977 8.0116
angles: 119.53 120.97 90.00
Site moments in Bohr magnetons follow the coordinates.
Sites, in units of the cell vectors:
V (0.5000, 0.0000, 0.0000)  2.76
F (0.4461, 0.0866, 0.2600)  0.00
F (0.1861, 0.9134, 0.7400)  0.00
F (0.1739, 0.9239, 0.3477)  0.00
Cs (0.8245, 0.5745, 0.6491)  0.00
F (0.5606, 0.3106, 0.1212)  0.01
V (0.5000, 0.5000, 0.0000)  2.76
Cs (0.1755, 0.4255, 0.3509)  0.00
F (0.8139, 0.0866, 0.2600)  0.00
F (0.4461, 0.6734, 0.2600)  0.00
F (0.4394, 0.6894, 0.8788)  0.01
F (0.8261, 0.0761, 0.6523)  0.00
Tb (0.0000, 0.0000, 0.5000)  0.00
F (0.5539, 0.9134, 0.7400)  0.00
F (0.8139, 0.6734, 0.2600)  0.00
F (0.5539, 0.3266, 0.7400)  0.00
Tb (0.5000, 0.0000, 0.5000)  0.00
F (0.1861, 0.3266, 0.7400)  0.00

Output
E: -6.034 eV per atom
Space group: Imma